2
Lattice="0.000 2.961 2.961 2.961 0.000 2.961 2.961 2.961 0.000" Properties=species:S:1:pos:R:3 comment="PBE PaNi, optimized geometry" total_energy_ev_per_fu=-13.7 vol_a3_per_fu=52 pbc="T T T"
Pa 0.000 0.000 0.000
Ni 1.480 1.480 1.480